Model 1:
Material: FeSbAsI2
Method: DFT, PBE
State: optimized geometry

```
FeSbAsI2
1.0
5.571 0.000 0.000
0.000 5.571 0.000
0.000 0.000 5.591
Sb Fe I As
1 1 2 1
Direct
0.000 0.000 0.500
0.500 0.500 0.500
0.500 0.000 0.000
0.000 0.500 0.000
0.000 0.000 0.000
```

Summary:
* magnetic moment: 4.06 Bohr magnetons per cell
* V: 34.70 Å³/atom
* ρ: 4.8 g cm⁻³


Model 2:
Material: FeSbAsI2
Method: DFT, PBE
State: optimized geometry

```
FeSbAsI2
1.0
5.164 0.000 0.000
0.000 5.164 0.000
0.000 0.000 4.927
Fe I As Sb
1 2 1 1
Direct
0.000 0.000 0.000
0.000 0.500 0.000
0.500 0.000 0.000
0.500 0.500 0.500
0.000 0.000 0.500
```

Summary:
* magnetic moment: 1.65 Bohr magnetons per cell
* V: 26.27 Å³/atom
* ρ: 6.4 g cm⁻³


If we sort the structures by their calculated energies, the order from most to least stable is model 2, model 1.


Model 1:
Material: FeAs2SeI
Method: DFT, PBE
State: optimized geometry

```
FeAs2SeI
1.0
5.370 0.000 0.000
0.000 5.370 0.000
0.000 0.000 5.277
Se I Fe As
1 1 1 2
Direct
0.000 0.000 0.500
0.000 0.000 0.000
0.500 0.500 0.500
0.500 0.000 0.000
0.000 0.500 0.000
```

Summary:
* magnetic moment: 3.79 Bohr magnetons per cell
* V: 30.43 Å³/atom
* ρ: 4.5 g cm⁻³


Model 2:
Material: FeAs2SeI
Method: DFT, PBE
State: optimized geometry

```
FeAs2SeI
1.0
5.047 0.000 0.000
0.000 5.548 0.000
0.000 0.000 5.047
I Se As Fe
1 1 2 1
Direct
0.000 0.500 0.000
0.000 0.000 0.000
0.500 0.000 0.000
0.000 0.000 0.500
0.500 0.500 0.500
```

Summary:
* magnetic moment: 3.66 Bohr magnetons per cell
* V: 28.26 Å³/atom
* ρ: 4.8 g cm⁻³


If we sort the structures by their calculated energies, the order from most to least stable is model 2, model 1.


Model 1:
Material: FeTe2AsI
Method: DFT, PBE
State: optimized geometry

```
FeTe2AsI
1.0
4.944 0.000 0.000
0.000 4.944 0.000
0.000 0.000 5.287
I As Te Fe
1 1 2 1
Direct
0.000 0.000 0.500
0.500 0.500 0.500
0.000 0.500 0.000
0.500 0.000 0.000
0.000 0.000 0.000
```

Summary:
* magnetic moment: 1.92 Bohr magnetons per cell
* V: 25.85 Å³/atom
* ρ: 6.6 g cm⁻³


Model 2:
Material: FeTe2AsI
Method: DFT, PBE
State: optimized geometry

```
FeTe2AsI
1.0
-2.798 3.904 3.076
-3.864 -2.445 -0.412
1.288 -2.840 4.776
Fe Te As I
1 2 1 1
Direct
0.000 0.500 0.000
0.500 0.000 0.000
0.000 0.000 0.500
0.000 0.000 0.000
0.500 0.500 0.500
```

Summary:
* magnetic moment: 3.58 Bohr magnetons per cell
* V: 29.87 Å³/atom
* ρ: 5.7 g cm⁻³


Model 3:
Material: FeTe2AsI
Method: DFT, PBE
State: optimized geometry

```
FeTe2AsI
1.0
5.509 0.000 0.000
0.000 5.509 0.000
0.000 0.000 5.457
I As Te Fe
1 1 2 1
Direct
0.000 0.000 0.500
0.000 0.000 0.000
0.500 0.000 0.000
0.000 0.500 0.000
0.500 0.500 0.500
```

Summary:
* magnetic moment: 4.12 Bohr magnetons per cell
* V: 33.12 Å³/atom
* ρ: 5.1 g cm⁻³


If we sort the structures by their calculated energies, the order from most to least stable is model 1, model 2, model 3.